(1)
Below is a relaxed structure of Si2GeIrN, with properties calculated at the PBE level.

Geometry as extended XYZ:
```
5
Lattice="3.885 0.000 0.000 0.000 3.885 0.000 0.000 0.000 4.329" Properties=species:S:1:pos:R:3 pbc="T T T"
Si 0.000 1.942 0.000
Si 1.942 0.000 0.000
Ge 0.000 0.000 2.164
Ir 1.942 1.942 2.164
N 0.000 0.000 0.000
```

Properties
Raw formation energy: 0.47 eV per atom
Magnetization: 0.0 μB per formula unit

(2)
Below is a relaxed structure of TbNd2Tm3, with properties calculated at the PBE level.

Geometry as extended XYZ:
```
12
Lattice="8.882 -1.747 0.000 8.882 1.747 0.000 -6.518 0.000 12.596" Properties=species:S:1:pos:R:3 pbc="T T T"
Tb 0.178 0.000 1.799
Tb 11.067 0.000 10.797
Nd -3.549 0.000 12.192
Nd 1.640 0.000 7.804
Nd 9.606 0.000 4.791
Nd 14.795 0.000 0.404
Tm -1.681 0.000 6.627
Tm -0.951 0.000 9.978
Tm 6.273 0.000 3.688
Tm 4.973 0.000 8.908
Tm 12.197 0.000 2.618
Tm 12.927 0.000 5.969
```

Properties
E above lowest polymorph: 0 meV per atom
Formation energy: 122 meV per atom
Magnetization: 0.0 μB per formula unit